# FeCoNiPt PBE-GGA relaxed
data_FeCoNiPt
_chemical_formula_sum 'Fe1 Co1 Ni1 Pt1'
_cell_length_a 3.653
_cell_length_b 3.672
_cell_length_c 3.738
_cell_angle_alpha 90.00
_cell_angle_beta 90.00
_cell_angle_gamma 90.00
_space_group_name_H-M_alt 'P m m m'
_space_group_IT_number 47
loop_
_space_group_symop_operation_xyz
'x,y,z'
'-x,-y,-z'
'-x,-y,z'
'x,y,-z'
'x,-y,-z'
'-x,y,z'
'-x,y,-z'
'x,-y,z'
loop_
_atom_site_label
_atom_site_type_symbol
_atom_site_fract_x
_atom_site_fract_y
_atom_site_fract_z
Fe1 Fe 0.000 0.000 0.000
Co1 Co 0.500 0.500 0.000
Ni1 Ni 0.500 0.000 0.500
Pt1 Pt 0.000 0.500 0.500
# Energy relative to the elements   -0.1526 eV per atom